Here is BaMoClO4 after structural relaxation from Alexandria. Energies are from GGA+U.

Calculated values
D(E_F), states/eV/atom: 0.00
Raw total energy, eV per atom: -6.28
Spin magnetization, μB per formula unit: 0.100

abc: 7.433 7.433 7.667
angles: 99.20 99.20 58.40
Atoms (fractional coordinates):
Ba: 0.212 0.212 0.319
Ba: 0.788 0.788 0.681
Mo: 0.131 0.131 0.746
Mo: 0.869 0.869 0.254
Cl: 0.494 0.494 0.869
Cl: 0.506 0.506 0.131
O: 0.008 0.008 0.263
O: 0.026 0.633 0.372
O: 0.197 0.197 0.972
O: 0.367 0.974 0.628
O: 0.633 0.026 0.372
O: 0.803 0.803 0.028
O: 0.974 0.367 0.628
O: 0.992 0.992 0.737